Record 1
Here is a relaxed NdTeS crystal from Alexandria. Energies are from PBE.

```
NdTeS
1.0
3.808 0.000 0.000
0.000 3.808 0.000
-1.904 -1.904 5.532
S Te Nd
1 1 1
Cartesian
0.000 0.000 0.448
0.000 0.000 3.605
1.904 1.904 1.479
```

Computed properties:
raw total energy	-5.254	eV per atom
raw formation energy	-1.242	eV per atom
excess energy over the best structure of this formula in the dataset	0.209	eV per atom
space group	I4mm, No. 107

***

Record 2
Here is a relaxed NdHoSn crystal from Alexandria. Energies are from PBE.

```
NdHoSn
1.0
-4.131 -1.290 1.467
0.680 -7.036 -4.270
4.080 -4.289 7.719
Nd Ho Sn
4 4 4
Cartesian
-2.389 -1.953 2.230
2.005 -6.435 3.546
3.019 -10.663 2.687
-1.375 -6.180 1.371
-0.694 -4.340 4.903
-0.511 -3.185 -0.682
1.325 -8.275 0.013
1.142 -9.430 5.598
-0.005 -8.984 2.763
0.015 -6.140 -1.797
0.635 -3.631 2.154
0.615 -6.475 6.713
```

Computed properties:
raw total energy	-5.039	eV per atom
formation enthalpy at 0 K	-589	meV/atom
excess energy over the best structure of this formula in the dataset	0.024	eV per atom
space group	Pnma, No. 62